1.
{"formula": "Ga2SbAu10", "functional": "PBE", "state": "optimized geometry", "lattice_angstrom": [[-3.7910, -0.9200, -4.6184], [1.0372, -6.0417, -3.6046], [-5.9953, -3.5374, 1.6691]], "species": ["Au", "Au", "Au", "Au", "Au", "Au", "Au", "Au", "Au", "Au", "Ga", "Ga", "Sb"], "frac_coords": [[0.0000, 0.0000, 0.5000], [0.7226, 0.7711, 0.7836], [0.0083, 0.6621, 0.3213], [0.2774, 0.2289, 0.2164], [0.6704, 0.3379, 0.3213], [0.3296, 0.6621, 0.6787], [0.4938, 0.2289, 0.7836], [0.9917, 0.3379, 0.6787], [0.5000, 0.0000, 0.5000], [0.5062, 0.7711, 0.2164], [0.5000, 0.5000, 0.0000], [0.0000, 0.5000, 0.0000], [0.0000, 0.0000, 0.0000]], "magnetic_moment_mub_per_cell": 0.00, "density_g_cm3": 14.67, "e_form_raw_mev_per_atom": 20, "sg": "No. 69", "total_energy_ev_per_atom": -3.28}



2.
{"formula": "LaIn3", "functional": "PBE", "state": "optimized geometry", "lattice_angstrom": [[6.2107, 0.0000, 0.0000], [0.0000, 6.7175, 0.0000], [0.0000, 0.0000, 16.0073]], "species": ["La", "La", "La", "La", "La", "La", "In", "In", "In", "In", "In", "In", "In", "In", "In", "In", "In", "In", "In", "In", "In", "In", "In", "In"], "frac_coords": [[0.3450, 0.7500, 0.9000], [0.6550, 0.2500, 0.4000], [0.3450, 0.7500, 0.6000], [0.6550, 0.2500, 0.1000], [0.9266, 0.7500, 0.2500], [0.0734, 0.2500, 0.7500], [0.3280, 0.2500, 0.5695], [0.5604, 0.0308, 0.7500], [0.9543, 0.7500, 0.7500], [0.1583, 0.9875, 0.4183], [0.3280, 0.2500, 0.9305], [0.4396, 0.9692, 0.2500], [0.0457, 0.2500, 0.2500], [0.1583, 0.9875, 0.0817], [0.4396, 0.5308, 0.2500], [0.1583, 0.5125, 0.4183], [0.8417, 0.4875, 0.9183], [0.1583, 0.5125, 0.0817], [0.5604, 0.4692, 0.7500], [0.8417, 0.4875, 0.5817], [0.6720, 0.7500, 0.0695], [0.8417, 0.0125, 0.5817], [0.6720, 0.7500, 0.4305], [0.8417, 0.0125, 0.9183]], "magnetic_moment_mub_per_cell": 0.00, "density_g_cm3": 7.21, "ef_ev_per_atom": -0.405, "sg": "No. 59", "total_energy_ev_per_atom": -3.69}



3.
{"formula": "AcLaErTm", "functional": "PBE", "state": "optimized geometry", "lattice_angstrom": [[5.8669, 0.0000, 0.0000], [2.9335, 5.0809, 0.0000], [2.9335, 1.6936, 4.7903]], "species": ["Er", "La", "Ac", "Tm"], "frac_coords": [[0.0000, 0.0000, 0.0000], [0.2500, 0.2500, 0.2500], [0.7500, 0.7500, 0.7500], [0.5000, 0.5000, 0.5000]], "magnetic_moment_mub_per_cell": 0.00, "density_g_cm3": 8.16, "ef_ev_per_atom": 0.085, "sg": "No. 216", "total_energy_ev_per_atom": -4.43}



4.
{"formula": "KZnCl2", "functional": "PBE", "state": "optimized geometry", "lattice_angstrom": [[-1.5953, -3.4353, 2.2316], [2.5499, -2.0990, 2.9016], [-1.7834, 2.3367, 6.3740]], "species": ["Cl", "Cl", "Zn", "K"], "frac_coords": [[0.0049, 0.0049, 0.9642], [0.4951, 0.4951, 0.5358], [0.7500, 0.7500, 0.7500], [0.2500, 0.2500, 0.2500]], "magnetic_moment_mub_per_cell": 0.36, "density_g_cm3": 2.63, "e_form_raw_mev_per_atom": -1005, "de_polymorph_ev_per_fu": 0.49, "sg": "No. 12", "total_energy_ev_per_atom": -2.52}